1.
# PrDyIr4 (PBE, optimized geometry)
# Crystal system: cubic
# Energy relative to the elements (eV/f.u.): -4.37
# DOS at the Fermi energy (states/eV/f.u.): 4.9
data_PrDyIr4
_space_group_name_H-M_alt 'F -4 3 m'
_space_group_IT_number 216
_space_group_name_Hall 'F -4 2 3'
_cell_length_a 7.653
_cell_length_b 7.653
_cell_length_c 7.653
_cell_angle_alpha 90.00
_cell_angle_beta 90.00
_cell_angle_gamma 90.00
loop_
_atom_site_label
_atom_site_type_symbol
_atom_site_fract_x
_atom_site_fract_y
_atom_site_fract_z
Pr1 Pr 0.000 0.000 0.000
Dy1 Dy 0.250 0.250 0.250
Ir1 Ir 0.125 0.125 0.625

---

2.
# PrDyIrPt (PBE, optimized geometry)
# Crystal system: cubic
# Energy relative to the elements (eV/f.u.): -3.49
# DOS at the Fermi energy (states/eV/f.u.): 2.2
data_PrDyIrPt
_space_group_name_H-M_alt 'F -4 3 m'
_space_group_IT_number 216
_space_group_name_Hall 'F -4 2 3'
_cell_length_a 7.069
_cell_length_b 7.069
_cell_length_c 7.069
_cell_angle_alpha 90.00
_cell_angle_beta 90.00
_cell_angle_gamma 90.00
loop_
_atom_site_label
_atom_site_type_symbol
_atom_site_fract_x
_atom_site_fract_y
_atom_site_fract_z
Pr1 Pr 0.000 0.000 0.000
Dy1 Dy 0.000 0.000 0.500
Ir1 Ir 0.250 0.250 0.250
Pt1 Pt 0.250 0.250 0.750

---

3.
# PrDyIrPt (PBE, optimized geometry)
# Crystal system: orthorhombic
# Energy relative to the elements (eV/f.u.): -3.71
# DOS at the Fermi energy (states/eV/f.u.): 2.3
data_PrDyIrPt
_space_group_name_H-M_alt 'A m m 2'
_space_group_IT_number 38
_cell_length_a 4.337
_cell_length_b 3.929
_cell_length_c 10.879
_cell_angle_alpha 90.00
_cell_angle_beta 90.00
_cell_angle_gamma 90.00
loop_
_space_group_symop_operation_xyz
'x,y,z'
'-x,-y,z'
'-x,y,z'
'x,-y,z'
'x,y+1/2,z+1/2'
'-x,-y+1/2,z+1/2'
'-x,y+1/2,z+1/2'
'x,-y+1/2,z+1/2'
loop_
_atom_site_label
_atom_site_type_symbol
_atom_site_fract_x
_atom_site_fract_y
_atom_site_fract_z
Pr1 Pr 0.000 0.000 0.000
Dy1 Dy 0.500 0.000 0.716
Ir1 Ir 0.000 0.000 0.266
Pt1 Pt 0.500 0.000 0.437

---

4.
# PrDySiIr (PBE, optimized geometry)
# Energy relative to the elements, uncorrected (eV/atom): -0.79
# Crystal system: orthorhombic
# DOS at the Fermi energy (states/eV/f.u.): 2.4
data_PrDySiIr
_space_group_name_H-M_alt 'A m m 2'
_space_group_IT_number 38
_cell_length_a 3.892
_cell_length_b 4.288
_cell_length_c 11.259
_cell_angle_alpha 90.00
_cell_angle_beta 90.00
_cell_angle_gamma 90.00
loop_
_space_group_symop_operation_xyz
'x,y,z'
'-x,-y,z'
'-x,y,z'
'x,-y,z'
'x,y+1/2,z+1/2'
'-x,-y+1/2,z+1/2'
'-x,y+1/2,z+1/2'
'x,-y+1/2,z+1/2'
loop_
_atom_site_label
_atom_site_type_symbol
_atom_site_fract_x
_atom_site_fract_y
_atom_site_fract_z
Pr1 Pr 0.000 0.000 0.000
Dy1 Dy 0.500 0.000 0.280
Si1 Si 0.500 0.000 0.591
Ir1 Ir 0.000 0.000 0.726

---

Q: Among the records above, which one has the lowest DOS at the Fermi energy?
A: number 2